The following is a DFT calculation (GGA-PBE) of an optimized crystal structure of LaZn3PdRh.

Output
As for the density of states at the Fermi level: 5.7 states/eV per cell. As for the spin magnetization: 0.00 Bohr magnetons per cell. Its energy of formation from the pure elements is -0.474 eV/atom.

a b c (Å): 5.501 6.435 7.162
angles (deg): 116.69 90.00 90.00
Fractional coordinates of all 12 atoms:
Zn1 0.000 0.301 0.000
Zn2 0.000 0.699 0.000
Zn3 0.500 0.301 0.000
Zn4 0.500 0.699 0.000
Zn5 0.750 0.862 0.724
Zn6 0.250 0.138 0.276
Pd1 0.750 0.652 0.303
Pd2 0.250 0.348 0.697
La1 0.250 0.728 0.457
La2 0.750 0.272 0.543
Rh1 0.750 0.070 0.140
Rh2 0.250 0.930 0.860

***

The following is a DFT calculation (GGA-PBE) of an optimized crystal structure of K3Tm3NpO8.

Output
As for the density of states at the Fermi level: 10.8 states/eV per cell. For the uncorrected formation energy, the calculation gives -2.84 eV per atom. As for the spin magnetization: 3.00 Bohr magnetons per cell.

a b c (Å): 6.869 6.869 7.470
angles (deg): 117.39 90.00 120.00
Site moments in Bohr magnetons follow the coordinates.
Fractional coordinates of all 15 atoms:
Np1 0.000 0.000 0.500  3.04
Tm1 0.500 0.500 0.500  0.01
Tm2 0.000 0.500 0.500  0.01
Tm3 0.500 0.000 0.500  0.01
O1 0.270 0.048 0.326  -0.03
O2 0.222 0.444 0.674  -0.03
O3 0.274 0.548 0.322  0.00
O4 0.222 0.952 0.674  -0.03
O5 0.726 0.452 0.678  0.00
O6 0.778 0.556 0.326  -0.03
O7 0.730 0.952 0.674  -0.03
O8 0.778 0.048 0.326  -0.03
K1 0.000 0.000 0.000  0.00
K2 0.500 0.500 0.000  0.00
K3 0.000 0.500 0.000  0.00

***

The following is a DFT calculation (GGA-PBE) of an optimized crystal structure of TbTh2Zn.

Output
As for the density of states at the Fermi level: 4.5 states/eV per cell. As for the spin magnetization: 0.00 Bohr magnetons per cell. Its energy of formation from the pure elements is 0.222 eV/atom.

a b c (Å): 3.392 3.392 11.960
angles (deg): 81.85 81.85 60.00
Fractional coordinates of all 4 atoms:
Th1 0.096 0.096 0.712
Th2 0.904 0.904 0.288
Tb1 0.000 0.000 0.000
Zn1 0.500 0.500 0.500